*P*
A plane-wave DFT calculation with GGA-PBE was carried out for TaAg2Os after structural relaxation. Values from VASP.

Geometry as Quantum ESPRESSO input:
```
&SYSTEM
  ibrav = 0, nat = 4, ntyp = 3
/
ATOMIC_SPECIES
Os 190.23 Os.upf
Ag 107.87 Ag.upf
Ta 180.95 Ta.upf
ATOMIC_POSITIONS angstrom
Os -1.8734 -1.9756 -0.8380
Ag -0.0138 0.0024 0.0024
Ag -2.6045 0.4507 0.4485
Ta -4.4917 -1.5225 -0.3871
CELL_PARAMETERS angstrom
-0.7539 -1.0747 -3.2977
-0.3746 -3.3297 1.1707
-5.2366 0.9062 0.9018
```

Summary:
Calculated volume ... 16.977 Å³/atom
Space group ... P4/mmm, No. 123

*Q*
A plane-wave DFT calculation with GGA-PBE was carried out for TaAg2Os after structural relaxation. Values from VASP.

Geometry as Quantum ESPRESSO input:
```
&SYSTEM
  ibrav = 0, nat = 4, ntyp = 3
/
ATOMIC_SPECIES
Os 190.23 Os.upf
Ag 107.87 Ag.upf
Ta 180.95 Ta.upf
ATOMIC_POSITIONS angstrom
Os 2.3389 1.1079 3.6275
Ag 0.5422 -1.3218 2.7225
Ag -0.3868 1.2980 2.4783
Ta 1.7567 2.1424 6.0063
CELL_PARAMETERS angstrom
-2.9717 1.6743 1.4047
0.5116 -1.3633 2.7071
3.9626 3.3071 4.4413
```

Summary:
Calculated volume ... 17.180 Å³/atom
Space group ... Pm, No. 6

Name the most stable of them. *Q*.

*P*
A plane-wave DFT calculation with GGA-PBE was carried out for TaAg2Os after structural relaxation. Values from VASP.

Geometry as Quantum ESPRESSO input:
```
&SYSTEM
  ibrav = 0, nat = 4, ntyp = 3
/
ATOMIC_SPECIES
Os 190.23 Os.upf
Ag 107.87 Ag.upf
Ta 180.95 Ta.upf
ATOMIC_POSITIONS angstrom
Os 1.6019 0.0000 2.4353
Ag 0.0000 0.0000 0.0000
Ag 1.6019 2.1602 0.0000
Ta 0.0000 2.1602 2.4353
CELL_PARAMETERS angstrom
3.2037 0.0000 0.0000
0.0000 4.3204 0.0000
0.0000 0.0000 4.8707
```

Summary:
Calculated volume ... 16.854 Å³/atom
Space group ... Pmmm, No. 47

*Q*
A plane-wave DFT calculation with GGA-PBE was carried out for TaAg2Os after structural relaxation. Values from VASP.

Geometry as Quantum ESPRESSO input:
```
&SYSTEM
  ibrav = 0, nat = 4, ntyp = 3
/
ATOMIC_SPECIES
Os 190.23 Os.upf
Ag 107.87 Ag.upf
Ta 180.95 Ta.upf
ATOMIC_POSITIONS angstrom
Os 0.0000 0.0000 3.8832
Ag 0.0000 0.0000 0.0130
Ag 1.5504 1.5504 1.8748
Ta 1.5504 1.5504 5.2747
CELL_PARAMETERS angstrom
3.1008 0.0000 0.0000
0.0000 3.1008 0.0000
0.0000 0.0000 7.3638
```

Summary:
Calculated volume ... 17.701 Å³/atom
Space group ... P4mm, No. 99

Name the most stable of them. *Q*.

*P*
A plane-wave DFT calculation with GGA-PBE was carried out for TaAg2Os after structural relaxation. Values from VASP.

Geometry as Quantum ESPRESSO input:
```
&SYSTEM
  ibrav = 0, nat = 4, ntyp = 3
/
ATOMIC_SPECIES
Os 190.23 Os.upf
Ag 107.87 Ag.upf
Ta 180.95 Ta.upf
ATOMIC_POSITIONS angstrom
Os 3.2163 3.2163 3.2163
Ag 1.6081 1.6081 1.6081
Ag 4.8244 4.8244 4.8244
Ta 0.0000 0.0000 0.0000
CELL_PARAMETERS angstrom
0.0000 3.2163 3.2163
3.2163 0.0000 3.2163
3.2163 3.2163 0.0000
```

Summary:
Calculated volume ... 16.636 Å³/atom
Space group ... Fm-3m, No. 225

*Q*
A plane-wave DFT calculation with GGA-PBE was carried out for TaAg2Os after structural relaxation. Values from VASP.

Geometry as Quantum ESPRESSO input:
```
&SYSTEM
  ibrav = 0, nat = 4, ntyp = 3
/
ATOMIC_SPECIES
Os 190.23 Os.upf
Ag 107.87 Ag.upf
Ta 180.95 Ta.upf
ATOMIC_POSITIONS angstrom
Os 2.6534 0.7901 1.1172
Ag 9.6199 2.8644 0.1130
Ag 5.3404 1.5901 2.2225
Ta 7.9603 2.3702 3.3517
CELL_PARAMETERS angstrom
5.2631 -0.0286 0.0505
4.3903 2.9029 0.0505
0.9604 0.2860 4.3680
```

Summary:
Calculated volume ... 16.782 Å³/atom
Space group ... C2/m, No. 12

*R*
A plane-wave DFT calculation with GGA-PBE was carried out for TaAg2Os after structural relaxation. Values from VASP.

Geometry as Quantum ESPRESSO input:
```
&SYSTEM
  ibrav = 0, nat = 4, ntyp = 3
/
ATOMIC_SPECIES
Os 190.23 Os.upf
Ag 107.87 Ag.upf
Ta 180.95 Ta.upf
ATOMIC_POSITIONS angstrom
Os 0.1620 2.6129 1.2546
Ag 0.0173 0.0241 0.0105
Ag 2.7449 3.8095 1.6636
Ta 2.9243 6.4465 2.9288
CELL_PARAMETERS angstrom
-1.3561 1.7004 -1.6564
-1.0822 -0.3083 2.4916
5.5245 7.6672 3.3483
```

Summary:
Calculated volume ... 16.949 Å³/atom
Space group ... Cmmm, No. 65

Name the most stable of them. *Q*.

*P*
A plane-wave DFT calculation with GGA-PBE was carried out for TaAg2Os after structural relaxation. Values from VASP.

Geometry as Quantum ESPRESSO input:
```
&SYSTEM
  ibrav = 0, nat = 4, ntyp = 3
/
ATOMIC_SPECIES
Os 190.23 Os.upf
Ag 107.87 Ag.upf
Ta 180.95 Ta.upf
ATOMIC_POSITIONS angstrom
Os -3.5643 -4.4637 -0.5940
Ag -1.8031 -8.8822 -2.3243
Ag -1.6360 -2.1878 -0.3151
Ta -5.0402 -6.6512 -0.9437
CELL_PARAMETERS angstrom
-1.1379 -4.0589 -2.4563
-0.5840 -4.8425 0.1086
-5.1592 0.0457 1.1280
```

Summary:
Calculated volume ... 16.813 Å³/atom
Space group ... Cm, No. 8

*Q*
A plane-wave DFT calculation with GGA-PBE was carried out for TaAg2Os after structural relaxation. Values from VASP.

Geometry as Quantum ESPRESSO input:
```
&SYSTEM
  ibrav = 0, nat = 4, ntyp = 3
/
ATOMIC_SPECIES
Os 190.23 Os.upf
Ag 107.87 Ag.upf
Ta 180.95 Ta.upf
ATOMIC_POSITIONS angstrom
Os -4.8801 -0.1995 -5.5813
Ag -19.4816 -0.7965 -22.2808
Ag -9.7988 -0.4006 -11.2068
Ta -14.6402 -0.5985 -16.7438
CELL_PARAMETERS angstrom
-5.3868 -0.9240 -8.3974
-7.4733 -1.2116 -6.5627
-6.6602 1.3375 -7.3648
```

Summary:
Calculated volume ... 16.705 Å³/atom
Space group ... R-3m, No. 166

*R*
A plane-wave DFT calculation with GGA-PBE was carried out for TaAg2Os after structural relaxation. Values from VASP.

Geometry as Quantum ESPRESSO input:
```
&SYSTEM
  ibrav = 0, nat = 4, ntyp = 3
/
ATOMIC_SPECIES
Os 190.23 Os.upf
Ag 107.87 Ag.upf
Ta 180.95 Ta.upf
ATOMIC_POSITIONS angstrom
Os -14.0144 2.0804 -2.6419
Ag -0.0070 0.0010 -0.0013
Ag -6.9967 1.0387 -1.3190
Ta -21.2356 3.1524 -4.0032
CELL_PARAMETERS angstrom
-9.1353 1.0873 -3.3654
-9.7661 0.1636 -0.7462
-9.2699 2.9312 -1.1990
```

Summary:
Calculated volume ... 16.959 Å³/atom
Space group ... R3m, No. 160

*S*
A plane-wave DFT calculation with GGA-PBE was carried out for TaAg2Os after structural relaxation. Values from VASP.

Geometry as Quantum ESPRESSO input:
```
&SYSTEM
  ibrav = 0, nat = 8, ntyp = 3
/
ATOMIC_SPECIES
Os 190.23 Os.upf
Ag 107.87 Ag.upf
Ta 180.95 Ta.upf
ATOMIC_POSITIONS angstrom
Os 0.0000 0.0000 0.0000
Os 7.5229 3.7614 1.2989
Ag 5.6969 1.8807 0.6494
Ag 1.8260 5.6422 0.6494
Ag 5.6422 5.5874 1.9483
Ag 9.4036 9.4584 1.9483
Ta 3.7614 3.7614 0.0000
Ta 3.7614 7.5229 1.2989
CELL_PARAMETERS angstrom
7.5229 0.0000 0.0000
0.0000 7.5229 0.0000
3.7614 3.7614 2.5978
```

Summary:
Calculated volume ... 18.377 Å³/atom
Space group ... I-42d, No. 122

Name the most stable of them. *R*.

*P*
A plane-wave DFT calculation with GGA-PBE was carried out for TaAg2Os after structural relaxation. Values from VASP.

Geometry as Quantum ESPRESSO input:
```
&SYSTEM
  ibrav = 0, nat = 4, ntyp = 3
/
ATOMIC_SPECIES
Os 190.23 Os.upf
Ag 107.87 Ag.upf
Ta 180.95 Ta.upf
ATOMIC_POSITIONS angstrom
Os -3.1513 2.0766 -0.7865
Ag 0.0000 0.0000 0.0000
Ag -2.6164 -0.7008 -0.8151
Ta -2.1577 0.9058 1.5890
CELL_PARAMETERS angstrom
-2.6927 3.6832 1.6176
-3.6100 0.4700 -3.1906
1.5286 -3.9482 2.3469
```

Summary:
Calculated volume ... 16.521 Å³/atom
Space group ... I-4m2, No. 119

*Q*
A plane-wave DFT calculation with GGA-PBE was carried out for TaAg2Os after structural relaxation. Values from VASP.

Geometry as Quantum ESPRESSO input:
```
&SYSTEM
  ibrav = 0, nat = 4, ntyp = 3
/
ATOMIC_SPECIES
Os 190.23 Os.upf
Ag 107.87 Ag.upf
Ta 180.95 Ta.upf
ATOMIC_POSITIONS angstrom
Os 0.5554 -1.0280 2.7375
Ag -2.0276 -7.1137 5.4203
Ag -1.0139 -3.5572 2.7105
Ta 1.0154 -2.7160 0.6942
CELL_PARAMETERS angstrom
-1.4738 -1.8690 4.7535
-0.5539 -5.2450 0.6670
3.5985 3.3699 -1.9889
```

Summary:
Calculated volume ... 16.590 Å³/atom
Space group ... Immm, No. 71

*R*
A plane-wave DFT calculation with GGA-PBE was carried out for TaAg2Os after structural relaxation. Values from VASP.

Geometry as Quantum ESPRESSO input:
```
&SYSTEM
  ibrav = 0, nat = 4, ntyp = 3
/
ATOMIC_SPECIES
Os 190.23 Os.upf
Ag 107.87 Ag.upf
Ta 180.95 Ta.upf
ATOMIC_POSITIONS angstrom
Os 2.1331 -1.9614 -0.5727
Ag 0.0447 -0.0123 0.0167
Ag 4.0045 -1.1061 1.4947
Ta 6.1823 -3.0798 0.9387
CELL_PARAMETERS angstrom
-0.6989 -2.6438 -0.0838
0.9161 -0.1606 -2.5730
8.0983 -2.2368 3.0228
```

Summary:
Calculated volume ... 16.709 Å³/atom
Space group ... P4/mmm, No. 123

Name the most stable of them. *Q*.

*P*
A plane-wave DFT calculation with GGA-PBE was carried out for Ta2AgOs after structural relaxation. Values from VASP.

Geometry as Quantum ESPRESSO input:
```
&SYSTEM
  ibrav = 0, nat = 4, ntyp = 3
/
ATOMIC_SPECIES
Os 190.23 Os.upf
Ag 107.87 Ag.upf
Ta 180.95 Ta.upf
ATOMIC_POSITIONS angstrom
Os 2.4393 -0.0002 1.4645
Ag 0.6809 2.3423 1.4645
Ta 0.0000 0.0000 0.0000
Ta 3.1202 2.3421 0.0000
CELL_PARAMETERS angstrom
4.8786 -0.0004 0.0000
1.3618 4.6847 0.0000
-3.1202 -2.3421 2.9291
```

Summary:
Calculated volume ... 16.736 Å³/atom
Space group ... I4/mmm, No. 139

*Q*
A plane-wave DFT calculation with GGA-PBE was carried out for Ta2AgOs after structural relaxation. Values from VASP.

Geometry as Quantum ESPRESSO input:
```
&SYSTEM
  ibrav = 0, nat = 4, ntyp = 3
/
ATOMIC_SPECIES
Os 190.23 Os.upf
Ag 107.87 Ag.upf
Ta 180.95 Ta.upf
ATOMIC_POSITIONS angstrom
Os 2.5399 0.8126 1.1124
Ag 5.0710 1.6224 2.4205
Ta 8.9748 2.8713 0.1422
Ta 7.5087 2.4023 3.4921
CELL_PARAMETERS angstrom
4.9783 0.0008 0.0120
4.0542 2.8890 0.0120
1.0087 0.3227 4.7382
```

Summary:
Calculated volume ... 17.023 Å³/atom
Space group ... Cm, No. 8

Name the most stable of them. *P*.